[1]
Here is a geometry-optimized K2CdCo3F12 structure from the Alexandria database. Energies are from PBE with a Hubbard U.

a b c (Å): 7.233 7.233 7.233
angles (deg): 61.66 61.66 61.66
Atoms (fractional coordinates):
K 0.127 0.127 0.127
K 0.873 0.873 0.873
Cd 0.500 0.500 0.500
Co 0.000 0.500 0.500
Co 0.500 0.000 0.500
Co 0.500 0.500 0.000
F 0.122 0.605 0.605
F 0.203 0.203 0.587
F 0.203 0.587 0.203
F 0.395 0.395 0.878
F 0.395 0.878 0.395
F 0.413 0.797 0.797
F 0.587 0.203 0.203
F 0.605 0.122 0.605
F 0.605 0.605 0.122
F 0.797 0.413 0.797
F 0.797 0.797 0.413
F 0.878 0.395 0.395

Output
total DFT energy (no corrections)	-80.12	eV for the cell shown
theoretical density	3.563	Mg/m³
magnetic moment	6.960	Bohr magnetons per cell



[2]
Here is a geometry-optimized HfP2WO structure from the Alexandria database. Energies are from PBE with a Hubbard U.

a b c (Å): 5.054 5.054 3.911
angles (deg): 90.00 90.00 90.00
Atoms (fractional coordinates):
Hf 0.000 0.000 0.000
P 0.000 0.500 0.000
P 0.500 0.000 0.000
W 0.500 0.500 0.500
O 0.000 0.000 0.500

Output
total DFT energy (no corrections)	-33.76	eV for the cell shown
theoretical density	7.317	Mg/m³
magnetic moment	2.570	Bohr magnetons per cell
offset from the most stable computed form	111.4	meV/atom